Entry 1:
OsCl4 PBE relaxed; SG = Cmmm; VASP energy = -0.1510 hartree per atom; magnetization = 2.01 μB/cell; formation energy without anion corrections = -1.93 eV per formula unit
1.0
6.324 -0.105 0.000
-0.558 6.300 0.000
0.000 0.000 3.631
Cl Os
4 1
Direct
0.731 0.731 0.000
0.269 0.269 0.000
0.834 0.166 0.500
0.166 0.834 0.500
0.000 0.000 0.000

=====

Entry 2:
Os2Cl PBE relaxed; ΔE to the lowest computed polymorph = 566.9 meV/atom; SG = P6_3/mmc; VASP energy = -0.2631 hartree per atom; magnetization = 0.00 μB/cell; formation energy without anion corrections = 2.83 eV per formula unit
1.0
-1.832 0.569 3.425
-0.928 -3.093 -2.232
5.322 -4.148 3.536
Os Cl
4 2
Direct
0.333 0.667 0.430
0.667 0.333 0.930
0.667 0.333 0.570
0.333 0.667 0.070
0.000 0.000 0.250
0.000 0.000 0.750

=====

Entry 3:
OsCl2 PBE relaxed; ΔE to the lowest computed polymorph = 1308.4 meV/atom; SG = P6_3/mmc; VASP energy = -0.1329 hartree per atom; magnetization = 3.84 μB/cell; formation energy without anion corrections = 4.08 eV per formula unit
1.0
5.825 0.000 0.000
-2.912 5.045 0.000
0.000 0.000 9.643
Os Cl
4 8
Direct
0.333 0.667 0.921
0.667 0.333 0.421
0.667 0.333 0.079
0.333 0.667 0.579
0.000 0.000 0.000
0.000 0.000 0.500
0.827 0.655 0.250
0.173 0.345 0.750
0.345 0.173 0.250
0.827 0.173 0.250
0.173 0.827 0.750
0.655 0.827 0.750

=====

Entry 4:
OsCl3 PBE relaxed; SG = R-3m; VASP energy = -0.1423 hartree per atom; magnetization = 1.00 μB/cell; formation energy without anion corrections = 1.28 eV per formula unit
1.0
2.079 0.000 9.257
-1.039 1.800 9.257
-1.039 -1.800 9.257
Os Cl
1 3
Direct
0.500 0.500 0.500
0.000 0.000 0.000
0.876 0.876 0.876
0.124 0.124 0.124

=====

Entry 5:
Os5Cl PBE relaxed; ΔE to the lowest computed polymorph = 103.9 meV/atom; SG = Cm; VASP energy = -0.3307 hartree per atom; magnetization = 0.00 μB/cell; formation energy without anion corrections = 4.00 eV per formula unit
1.0
4.792 -1.723 1.215
5.193 0.630 -0.193
1.157 3.156 5.605
Os Cl
5 1
Direct
0.323 0.323 0.345
0.680 0.680 0.649
0.617 0.617 0.266
0.952 0.952 0.600
0.285 0.285 0.919
0.977 0.977 0.054

=====

Entry 6:
Os5Cl PBE relaxed; ΔE to the lowest computed polymorph = 0.0 meV/atom; SG = P4/mmm; VASP energy = -0.3345 hartree per atom; magnetization = 0.00 μB/cell; formation energy without anion corrections = 3.37 eV per formula unit
1.0
2.779 0.000 0.000
0.000 2.779 0.000
0.000 0.000 11.532
Os Cl
5 1
Direct
0.000 0.000 0.822
0.000 0.000 0.178
0.500 0.500 0.669
0.500 0.500 0.331
0.000 0.000 0.500
0.500 0.500 0.000

=====

Entry 7:
Os2Cl PBE relaxed; ΔE to the lowest computed polymorph = 1675.7 meV/atom; SG = Fm-3m; VASP energy = -0.2223 hartree per atom; magnetization = 0.00 μB/cell; formation energy without anion corrections = 6.16 eV per formula unit
1.0
4.028 0.000 0.000
2.014 3.489 0.000
2.014 1.163 3.289
Cl Os
1 2
Direct
0.000 0.000 0.000
0.250 0.250 0.250
0.750 0.750 0.750

=====

Entry 8:
OsCl4 PBE relaxed; SG = I4/m; VASP energy = -0.1355 hartree per atom; magnetization = 0.00 μB/cell; formation energy without anion corrections = 0.19 eV per formula unit
1.0
3.249 1.407 -5.817
-0.500 -2.593 6.277
-3.438 -5.180 -2.779
Os Cl
1 4
Direct
0.000 0.000 0.000
0.707 0.454 0.161
0.454 0.293 0.746
0.293 0.546 0.839
0.546 0.707 0.254

=====

Question: Which of these has the highest magnetization?
Answer: OsCl2

=====

Question: The highest formation energy without anion corrections belongs to which entry?
Answer: number 7